# GGA-PBE NaTm2Zr, relaxed
# Magnetization in μB per formula unit: 0.0
# V in Å³ per atom: 29.7
# Uncorrected energy in eV per atom: -4.538
# Polymorph energy (0 for the lowest one) in kcal/mol of atoms: 1.172
# E_form in meV per atom: 165
# Density of states at the Fermi level in states/eV per cell: 10.3
data_NaTm2Zr
_chemical_formula_sum 'Na3 Tm6 Zr3'
_space_group_name_H-M_alt 'R -3 m'
_space_group_IT_number 166
_space_group_name_Hall '-R 3 2"'
_cell_length_a 3.3700
_cell_length_b 3.3700
_cell_length_c 36.2618
_cell_angle_alpha 90.00
_cell_angle_beta 90.00
_cell_angle_gamma 120.00
loop_
_atom_site_label
_atom_site_type_symbol
_atom_site_fract_x
_atom_site_fract_y
_atom_site_fract_z
_atom_site_occupancy
Na1 Na 0.0000 0.0000 0.0000 1
Tm1 Tm 0.0000 0.0000 0.0953 1
Zr1 Zr 0.0000 0.0000 0.5000 1


# GGA-PBE NaTmZr, relaxed
# Magnetization in μB per formula unit: 0.0
# V in Å³ per atom: 28.5
# Uncorrected energy in eV per atom: -4.258
# Polymorph energy (0 for the lowest one) in kcal/mol of atoms: 7.308
# E_form in meV per atom: 522
# Density of states at the Fermi level in states/eV per cell: 15.8
data_NaTmZr
_chemical_formula_sum 'Na4 Tm4 Zr4'
_space_group_name_H-M_alt 'C 1 m 1'
_space_group_IT_number 8
_space_group_name_Hall 'C -2y'
_cell_length_a 10.835
_cell_length_b 3.117
_cell_length_c 10.128
_cell_angle_alpha 90.00
_cell_angle_beta 90.28
_cell_angle_gamma 90.00
loop_
_atom_site_label
_atom_site_type_symbol
_atom_site_fract_x
_atom_site_fract_y
_atom_site_fract_z
_atom_site_occupancy
Na1 Na 0.000 0.000 0.000 1
Na2 Na 0.002 0.000 0.346 1
Tm1 Tm 0.259 0.000 0.825 1
Tm2 Tm 0.262 0.000 0.180 1
Zr1 Zr 0.266 0.000 0.523 1
Zr2 Zr 0.475 0.500 0.658 1


# GGA-PBE NaTmZr, relaxed
# Magnetization in μB per formula unit: 0.2
# V in Å³ per atom: 27.5
# Uncorrected energy in eV per atom: -4.574
# Polymorph energy (0 for the lowest one) in kcal/mol of atoms: 0.000
# E_form in meV per atom: 205
# Density of states at the Fermi level in states/eV per cell: 11.8
data_NaTmZr
_chemical_formula_sum 'Na4 Tm4 Zr4'
_space_group_name_H-M_alt 'C 1 m 1'
_space_group_IT_number 8
_space_group_name_Hall 'C -2y'
_cell_length_a 8.926
_cell_length_b 5.153
_cell_length_c 7.171
_cell_angle_alpha 90.00
_cell_angle_beta 90.00
_cell_angle_gamma 90.00
loop_
_atom_site_label
_atom_site_type_symbol
_atom_site_fract_x
_atom_site_fract_y
_atom_site_fract_z
_atom_site_occupancy
Na1 Na 0.000 0.000 0.000 1
Na2 Na 0.167 0.500 0.996 1
Tm1 Tm 0.335 0.000 0.282 1
Tm2 Tm 0.335 0.000 0.714 1
Zr1 Zr 0.001 0.000 0.498 1
Zr2 Zr 0.168 0.500 0.498 1